[1]
MgV2Sb2 | PBE | optimized geometry

mass density	6.25	g cm⁻³
energy above the most stable polymorph in this dataset	31	meV per atom
ΔE_f (raw)	0.09	eV/atom

abc: 7.7093 7.7093 3.3047
angles: 90.00 90.00 90.00
Space group P4/mbm (No. 127)
One atom of each set of equivalent atoms:
Mg (0.0000, 0.0000, 0.0000) x2
V (0.1381, 0.3619, 0.5000) x4
Sb (0.1536, 0.6536, 0.0000) x4


[2]
MgV2Sb | PBE | optimized geometry

mass density	5.51	g cm⁻³
energy above the most stable polymorph in this dataset	324	meV per atom
ΔE_f (raw)	0.62	eV/atom

abc: 7.3163 7.3163 5.5849
angles: 90.00 90.00 90.00
Space group I-42d (No. 122)
One atom of each set of equivalent atoms:
Mg (0.0000, 0.0000, 0.0000) x4
V (0.2386, 0.2500, 0.6250) x8
Sb (0.0000, 0.0000, 0.5000) x4


[3]
MgVSb2 | PBE | optimized geometry

mass density	5.54	g cm⁻³
ΔE_f (raw)	0.05	eV/atom

abc: 3.3760 3.3760 29.0520
angles: 90.00 90.00 120.00
Space group R-3m (No. 166, hexagonal axes)
One atom of each set of equivalent atoms:
Mg (0.0000, 0.0000, 0.0000) x3
V (0.0000, 0.0000, 0.5000) x3
Sb (0.0000, 0.0000, 0.1016) x6